A relaxed ScCdRe crystal, computed with GGA-PBE.

## Properties
Uncorrected energy in eV/atom: -6.3282
ΔE to the lowest computed polymorph in eV per atom: 0.035
V in Å³/cell: 55.8
Crystal system: tetragonal
Space-group type: I4mm, No. 107
Energy of formation from the pure elements in eV per atom: 0.237
Fermi-level density of states in states/eV per atom: 1.1049

Lattice parameters (Å, degrees): 7.071 7.071 7.071 156.57 156.57 33.37
Fractional positions:
Sc: 0.000 0.000 0.000
Cd: 0.316 0.316 0.000
Re: 0.653 0.653 0.000



A relaxed CsSiNi3 crystal, computed with GGA-PBE.

## Properties
Uncorrected energy in eV/atom: -4.1661
ΔE to the lowest computed polymorph in eV per atom: 0.000
V in Å³/cell: 95.4
Formation energy (no corrections) in eV/f.u.: 2.79
Crystal system: cubic
Space-group type: Pm-3m, No. 221
Fermi-level density of states in states/eV per atom: 2.3109

Lattice parameters (Å, degrees): 4.569 4.569 4.569 90.00 90.00 90.00
Fractional positions:
Cs: 0.000 0.000 0.000
Si: 0.500 0.500 0.500
Ni: 0.000 0.500 0.500
Ni: 0.500 0.000 0.500
Ni: 0.500 0.500 0.000



A relaxed ScBe2Si crystal, computed with GGA-PBE.

## Properties
Uncorrected energy in eV/atom: -4.7834
V in Å³/cell: 53.2
Formation energy (no corrections) in eV/f.u.: 0.07
Crystal system: orthorhombic
Space-group type: Fmmm, No. 69
Fermi-level density of states in states/eV per atom: 0.5578

Lattice parameters (Å, degrees): 4.584 4.582 3.779 65.68 65.62 48.69
Fractional positions:
Sc: 0.000 0.000 0.000
Be: 0.250 0.250 0.250
Be: 0.750 0.750 0.750
Si: 0.500 0.500 0.500



A relaxed RbCa2Os2 crystal, computed with GGA-PBE.

## Properties
Uncorrected energy in eV/atom: -4.5355
ΔE to the lowest computed polymorph in eV per atom: 0.178
V in Å³/cell: 145.6
Crystal system: tetragonal
Space-group type: I4/mmm, No. 139
Energy of formation from the pure elements in eV per atom: 0.951
Fermi-level density of states in states/eV per atom: 1.5493

Lattice parameters (Å, degrees): 6.214 6.214 6.214 127.75 127.75 77.03
Fractional positions:
Rb: 0.000 0.000 0.000
Ca: 0.250 0.750 0.500
Ca: 0.750 0.250 0.500
Os: 0.381 0.381 0.000
Os: 0.619 0.619 0.000



A relaxed AcPrSm crystal, computed with GGA-PBE.

## Properties
Uncorrected energy in eV/atom: -4.4885
ΔE to the lowest computed polymorph in eV per atom: 0.013
V in Å³/cell: 230.4
Crystal system: triclinic
Space-group type: P-1, No. 2
Energy of formation from the pure elements in eV per atom: 0.047
Fermi-level density of states in states/eV per atom: 1.6804

Lattice parameters (Å, degrees): 6.571 6.604 7.188 90.37 116.99 119.70
Fractional positions:
Ac: 0.154 0.409 0.253
Ac: 0.846 0.591 0.747
Pr: 0.173 0.243 0.762
Pr: 0.827 0.757 0.238
Sm: 0.491 0.920 0.744
Sm: 0.509 0.080 0.256



A relaxed Nd2Ga3GePt4 crystal, computed with GGA-PBE.

## Properties
Uncorrected energy in eV/atom: -5.7006
V in Å³/cell: 193.8
Crystal system: tetragonal
Space-group type: P-4m2, No. 115
Energy of formation from the pure elements in eV per atom: -0.961
Fermi-level density of states in states/eV per atom: 0.5991

Lattice parameters (Å, degrees): 4.322 4.322 10.377 90.00 90.00 90.00
Fractional positions:
Nd: 0.000 0.500 0.245
Nd: 0.500 0.000 0.755
Ga: 0.000 0.000 0.000
Ga: 0.000 0.500 0.631
Ga: 0.500 0.000 0.369
Ge: 0.500 0.500 0.000
Pt: 0.000 0.000 0.500
Pt: 0.000 0.500 0.871
Pt: 0.500 0.000 0.129
Pt: 0.500 0.500 0.500